Entry 1:
Computed, not measured: a geometry-optimized Eu2ThPt structure at the PBE-GGA level of DFT.

**Total magnetic moment**: 15.2 μB/f.u.
**Uncorrected energy**: -135.780 eV/cell
**Energy relative to the elements**: 0.016 eV per atom

a b c (Å): 7.477 7.477 7.477
angles (deg): 90.00 90.00 90.00
Space group Fm-3m (No. 225)
One atom of each set of equivalent atoms:
Eu  0.250  0.250  0.250 [8 per cell]
Th  0.000  0.000  0.000 [4 per cell]
Pt  0.000  0.000  0.500 [4 per cell]

Entry 2:
Computed, not measured: a geometry-optimized NdYSn2 structure at the PBE-GGA level of DFT.

**Total magnetic moment**: 0.0 μB/f.u.
**Uncorrected energy**: -21.888 eV/cell
**Energy relative to the elements**: -0.663 eV per atom

a b c (Å): 3.512 3.512 8.961
angles (deg): 90.00 90.00 90.00
Space group P4/mmm (No. 123)
One atom of each set of equivalent atoms:
Nd  0.000  0.000  0.000 [1 per cell]
Y  0.000  0.000  0.500 [1 per cell]
Sn  0.500  0.500  0.257 [2 per cell]

Entry 3:
Computed, not measured: a geometry-optimized Dy3HgS structure at the PBE-GGA level of DFT.

**Polymorph energy (0 for the lowest one)**: 211 meV per atom
**Total magnetic moment**: 0.0 μB/f.u.
**Uncorrected energy**: -22.211 eV/cell

a b c (Å): 5.150 5.150 5.150
angles (deg): 90.00 90.00 90.00
Space group Pm-3m (No. 221)
One atom of each set of equivalent atoms:
Dy  0.000  0.000  0.500 [3 per cell]
Hg  0.500  0.500  0.500 [1 per cell]
S  0.000  0.000  0.000 [1 per cell]

Entry 4:
Computed, not measured: a geometry-optimized TbErAgSn structure at the PBE-GGA level of DFT.

**Total magnetic moment**: 0.1 μB/f.u.
**Uncorrected energy**: -72.234 eV/cell
**Energy relative to the elements**: -0.503 eV per atom

a b c (Å): 7.384 7.384 7.384
angles (deg): 90.00 90.00 90.00
Space group F-43m (No. 216)
One atom of each set of equivalent atoms:
Tb  0.000  0.000  0.000 [4 per cell]
Er  0.000  0.000  0.500 [4 per cell]
Ag  0.250  0.250  0.250 [4 per cell]
Sn  0.250  0.250  0.750 [4 per cell]

Entry 5:
Computed, not measured: a geometry-optimized La2Tb12Pr structure at the PBE-GGA level of DFT.

**Total magnetic moment**: 0.0 μB/f.u.
**Uncorrected energy**: -271.411 eV/cell
**Energy relative to the elements**: 0.156 eV per atom

a b c (Å): 7.124 11.421 25.032
angles (deg): 90.00 90.00 90.00
Space group Cmme (No. 67)
One atom of each set of equivalent atoms:
La  0.000  0.250  0.227 [4 per cell]
La  0.000  0.250  0.768 [4 per cell]
Tb  0.000  0.001  0.580 [8 per cell]
Tb  0.000  0.015  0.061 [8 per cell]
Tb  0.237  0.250  0.918 [8 per cell]
Tb  0.249  0.250  0.372 [8 per cell]
Tb  0.250  0.000  0.171 [8 per cell]
Tb  0.250  0.000  0.300 [8 per cell]
Pr  0.000  0.250  0.500 [4 per cell]

Entry 6:
Computed, not measured: a geometry-optimized YTl3C structure at the PBE-GGA level of DFT.

**Polymorph energy (0 for the lowest one)**: 905 meV per atom
**Total magnetic moment**: 0.1 μB/f.u.
**Uncorrected energy**: -13.897 eV/cell
**Energy relative to the elements**: 1.778 eV per atom

a b c (Å): 6.026 6.026 6.026
angles (deg): 90.00 90.00 90.00
Space group Pm-3m (No. 221)
One atom of each set of equivalent atoms:
Y  0.000  0.000  0.000 [1 per cell]
Tl  0.000  0.000  0.500 [3 per cell]
C  0.500  0.500  0.500 [1 per cell]